Entry 1:
SrLiDy2Tl4: relaxed, PBE.

Cell lengths 5.3272, 5.3272, 27.4092 Å; angles 90.00, 90.00, 120.00 degrees
Space group R-3m (No. 166, hexagonal axes)
Symmetry-distinct sites (fractional):
Sr1 0.0000 0.0000 0.0000
Li1 0.0000 0.0000 0.5000
Dy1 0.0000 0.0000 0.2428
Tl1 0.0000 0.0000 0.1274
Tl2 0.0000 0.0000 0.3850

crystal system = trigonal
DFT formation energy = -0.30 eV/atom

Entry 2:
Sc2FeW2: relaxed, PBE.

Cell lengths 6.251, 6.251, 4.678 Å; angles 90.00, 90.00, 90.00 degrees
Space group P4/mbm (No. 127)
Symmetry-distinct sites (fractional):
Sc1 0.167 0.333 0.000
Fe1 0.000 0.000 0.500
W1 0.148 0.648 0.500

crystal system = tetragonal
DFT formation energy = 0.30 eV/atom

Entry 3:
Ca2CoTe: relaxed, PBE.

Cell lengths 4.222, 4.292, 11.436 Å; angles 90.00, 90.00, 90.00 degrees
Space group Amm2 (No. 38)
Symmetry-distinct sites (fractional):
Ca1 0.000 0.000 0.000
Ca2 0.500 0.000 0.292
Co1 0.000 0.000 0.725
Te1 0.500 0.000 0.584

crystal system = orthorhombic
uncorrected formation energy = -0.466 eV per atom

Entry 4:
Be2GeN: relaxed, PBE.

Cell lengths 5.566, 5.566, 5.566 Å; angles 90.00, 90.00, 90.00 degrees
Space group Fm-3m (No. 225)
Symmetry-distinct sites (fractional):
Be1 0.250 0.250 0.250
Ge1 0.000 0.000 0.000
N1 0.000 0.000 0.500

crystal system = cubic
uncorrected formation energy = 1.199 eV per atom

Entry 5:
Tm6TcSb2: relaxed, PBE.

Cell lengths 8.0648, 8.0648, 4.2263 Å; angles 90.00, 90.00, 120.00 degrees
Space group P-62m (No. 189)
Symmetry-distinct sites (fractional):
Tm1 0.0000 0.2363 0.0000
Tm2 0.0000 0.6067 0.5000
Tc1 0.0000 0.0000 0.5000
Sb1 0.3333 0.6667 0.0000

crystal system = hexagonal
uncorrected formation energy = -0.625 eV per atom

Entry 6:
Pr5Bi4N: relaxed, PBE.

Cell lengths 9.912, 9.912, 6.522 Å; angles 90.00, 90.00, 90.00 degrees
Space group I4 (No. 79)
Symmetry-distinct sites (fractional):
Pr1 0.000 0.000 0.000
Pr2 0.096 0.741 0.579
Bi1 0.085 0.691 0.083
N1 0.000 0.000 0.645

crystal system = tetragonal
uncorrected formation energy = -0.865 eV per atom

Entry 7:
Sr2AlBr: relaxed, PBE.

Cell lengths 4.087, 3.895, 8.942 Å; angles 90.00, 90.13, 90.00 degrees
Space group P2/m (No. 10)
Symmetry-distinct sites (fractional):
Sr1 0.001 0.000 0.219
Al1 0.500 0.500 0.000
Br1 0.000 0.500 0.500

crystal system = monoclinic
uncorrected formation energy = -0.800 eV per atom

Entry 8:
Tb6PmPr4: relaxed, PBE.

Cell lengths 6.755, 6.755, 16.985 Å; angles 90.00, 90.00, 90.00 degrees
Space group I-42m (No. 121)
Symmetry-distinct sites (fractional):
Tb1 0.000 0.500 0.000
Tb2 0.176 0.176 0.378
Pm1 0.000 0.000 0.000
Pr1 0.191 0.191 0.176

crystal system = tetragonal
DFT formation energy = 0.30 eV/atom

Entry 9:
PaSnPdS4: relaxed, PBE.

Cell lengths 6.748, 5.632, 8.419 Å; angles 90.00, 109.14, 90.00 degrees
Space group P2_1/m (No. 11)
Symmetry-distinct sites (fractional):
Pa1 0.241 0.250 0.446
Sn1 0.202 0.250 0.956
Pd1 0.264 0.750 0.667
S1 0.042 0.750 0.386
S2 0.062 0.750 0.869
S3 0.454 0.519 0.282

crystal system = monoclinic
uncorrected formation energy = -0.863 eV per atom

Entry 10:
CsSr2ScP: relaxed, PBE.

Cell lengths 6.040, 6.040, 5.196 Å; angles 90.00, 90.00, 90.00 degrees
Space group P4/mmm (No. 123)
Symmetry-distinct sites (fractional):
Cs1 0.000 0.000 0.000
Sr1 0.000 0.500 0.000
Sc1 0.000 0.000 0.500
P1 0.500 0.500 0.500

crystal system = tetragonal
DFT formation energy = 1.32 eV/atom

Entry 11:
VAsCBr2: relaxed, PBE.

Cell lengths 4.659, 4.659, 4.372 Å; angles 90.00, 90.00, 90.00 degrees
Space group P4/mmm (No. 123)
Symmetry-distinct sites (fractional):
V1 0.000 0.000 0.000
As1 0.500 0.500 0.000
C1 0.500 0.500 0.500
Br1 0.000 0.500 0.500

crystal system = tetragonal
uncorrected formation energy = 1.302 eV per atom

Entry 12:
BaCrH3: relaxed, PBE.

Cell lengths 4.865, 4.865, 4.865 Å; angles 90.00, 90.00, 90.00 degrees
Space group Pm-3m (No. 221)
Symmetry-distinct sites (fractional):
Ba1 0.000 0.000 0.000
Cr1 0.500 0.500 0.500
H1 0.000 0.000 0.500

crystal system = cubic

Entry 13:
TaTl2Si: relaxed, PBE.

Cell lengths 4.063, 4.063, 5.129 Å; angles 90.00, 90.00, 90.00 degrees
Space group P4/mmm (No. 123)
Symmetry-distinct sites (fractional):
Ta1 0.000 0.000 0.000
Tl1 0.000 0.500 0.500
Si1 0.500 0.500 0.000

crystal system = tetragonal
uncorrected formation energy = 0.757 eV per atom

Entry 14:
CuNi2Rh: relaxed, PBE.

Cell lengths 7.287, 3.628, 7.331 Å; angles 90.00, 90.00, 90.00 degrees
Space group Pnma (No. 62)
Symmetry-distinct sites (fractional):
Cu1 0.123 0.250 0.000
Ni1 0.125 0.250 0.499
Ni2 0.125 0.750 0.255
Rh1 0.126 0.750 0.745

crystal system = orthorhombic
DFT formation energy = 0.06 eV/atom

Entry 15:
Rb2ScInC: relaxed, PBE.

Cell lengths 6.695, 6.695, 5.705 Å; angles 90.00, 90.00, 90.00 degrees
Space group P4/mmm (No. 123)
Symmetry-distinct sites (fractional):
Rb1 0.000 0.500 0.000
Sc1 0.000 0.000 0.500
In1 0.000 0.000 0.000
C1 0.500 0.500 0.500

crystal system = tetragonal
DFT formation energy = 1.62 eV/atom

Entry 16:
Fe2CoIr: relaxed, PBE.

Cell lengths 8.627, 2.626, 4.463 Å; angles 90.00, 100.44, 90.00 degrees
Space group Cm (No. 8)
Symmetry-distinct sites (fractional):
Fe1 0.000 0.000 0.000
Fe2 0.246 0.000 0.744
Co1 0.498 0.000 0.505
Ir1 0.252 0.500 0.252

crystal system = monoclinic
DFT formation energy = 0.03 eV/atom

Entry 17:
NdHo5Th: relaxed, PBE.

Cell lengths 6.895, 10.362, 6.880 Å; angles 90.00, 107.26, 90.00 degrees
Space group C2/m (No. 12)
Symmetry-distinct sites (fractional):
Nd1 0.000 0.000 0.000
Ho1 0.000 0.000 0.500
Ho2 0.191 0.280 0.235
Th1 0.000 0.500 0.500

crystal system = monoclinic
DFT formation energy = 0.23 eV/atom

Entry 18:
CeTmHg6: relaxed, PBE.

Cell lengths 4.591, 4.591, 9.585 Å; angles 90.00, 90.00, 90.00 degrees
Space group P4/mmm (No. 123)
Symmetry-distinct sites (fractional):
Ce1 0.000 0.000 0.000
Tm1 0.000 0.000 0.500
Hg1 0.000 0.500 0.257
Hg2 0.500 0.500 0.000
Hg3 0.500 0.500 0.500

crystal system = tetragonal
DFT formation energy = -0.26 eV/atom

Entry 19:
FeW2I2: relaxed, PBE.

Cell lengths 6.584, 6.584, 4.603 Å; angles 90.00, 90.00, 90.00 degrees
Space group P4/mbm (No. 127)
Symmetry-distinct sites (fractional):
Fe1 0.000 0.000 0.000
W1 0.144 0.356 0.000
I1 0.177 0.677 0.500

crystal system = tetragonal
uncorrected formation energy = 1.458 eV per atom

Entry 20:
CaAl3Pt2: relaxed, PBE.

Cell lengths 14.643, 4.225, 8.265 Å; angles 90.00, 114.09, 90.00 degrees
Space group C2/m (No. 12)
Symmetry-distinct sites (fractional):
Ca1 0.145 0.000 0.082
Al1 0.018 0.000 0.345
Al2 0.121 0.500 0.733
Al3 0.177 0.500 0.445
Pt1 0.015 0.500 0.172
Pt2 0.172 0.000 0.637

crystal system = monoclinic
DFT formation energy = -0.90 eV/atom

Entry 21:
AcTb3Cd: relaxed, PBE.

Cell lengths 17.084, 10.947, 7.363 Å; angles 90.00, 102.33, 90.00 degrees
Space group C2/c (No. 15)
Symmetry-distinct sites (fractional):
Ac1 0.000 0.028 0.250
Ac2 0.000 0.344 0.750
Tb1 0.175 0.165 0.597
Tb2 0.176 0.164 0.079
Tb3 0.183 0.500 0.091
Cd1 0.081 0.338 0.291

crystal system = monoclinic
DFT formation energy = -0.02 eV/atom

Entry 22:
ThScTcAg: relaxed, PBE.

Cell lengths 7.006, 7.006, 7.006 Å; angles 90.00, 90.00, 90.00 degrees
Space group F-43m (No. 216)
Symmetry-distinct sites (fractional):
Th1 0.000 0.000 0.000
Sc1 0.000 0.000 0.500
Tc1 0.250 0.250 0.750
Ag1 0.250 0.250 0.250

crystal system = cubic
DFT formation energy = -0.13 eV/atom

Entry 23:
PrZnCd2: relaxed, PBE.

Cell lengths 4.842, 4.842, 16.160 Å; angles 90.00, 90.00, 90.00 degrees
Space group I4/mmm (No. 139)
Symmetry-distinct sites (fractional):
Pr1 0.000 0.000 0.143
Zn1 0.000 0.500 0.250
Cd1 0.000 0.000 0.361
Cd2 0.000 0.500 0.000

crystal system = tetragonal
DFT formation energy = -0.30 eV/atom

Entry 24:
LaTi2Pt: relaxed, PBE.

Cell lengths 4.049, 4.049, 21.025 Å; angles 90.00, 90.00, 90.00 degrees
Space group I-42d (No. 122)
Symmetry-distinct sites (fractional):
La1 0.000 0.000 0.000
Ti1 0.227 0.250 0.625
Pt1 0.000 0.000 0.500

crystal system = tetragonal
DFT formation energy = -0.05 eV/atom

Entry 25:
SrCuSbTe2: relaxed, PBE.

Cell lengths 5.540, 5.540, 4.892 Å; angles 90.00, 90.00, 90.00 degrees
Space group P4/mmm (No. 123)
Symmetry-distinct sites (fractional):
Sr1 0.000 0.000 0.000
Cu1 0.500 0.500 0.500
Sb1 0.500 0.500 0.000
Te1 0.000 0.500 0.500

crystal system = tetragonal
uncorrected formation energy = -0.337 eV per atom

no.,raw total energy (eV per atom)
1,-3.08
2,-9.11
3,-4.03
4,-3.90
5,-5.67
6,-5.64
7,-3.00
8,-4.40
9,-5.89
10,-1.87
11,-3.97
12,-3.57
13,-4.74
14,-5.69
15,-2.42
16,-8.19
17,-4.78
18,-1.78
19,-6.04
20,-5.12
21,-3.80
22,-6.87
23,-2.27
24,-6.74
25,-3.57